The following is a DFT calculation (PBE) of SrCa2Au after structural relaxation.

Cell and atoms, written as POSCAR:
```
SrCa2Au
1.0
2.123 1.226 10.128
-2.123 1.226 10.128
0.000 -2.451 10.128
Sr Ca Au
1 2 1
Direct
0.000 0.000 0.000 Sr
0.555 0.555 0.555 Ca
0.778 0.778 0.778 Ca
0.166 0.166 0.166 Au
```

Calculated values
formation energy from the elements	-0.377	eV per atom
D(E_F)	3.90	states/eV per cell


The following is a DFT calculation (PBE) of SrCa3Au4 after structural relaxation.

Cell and atoms, written as POSCAR:
```
SrCa3Au4
1.0
10.423 0.000 0.000
0.000 7.418 0.000
0.000 0.000 5.211
Sr Ca Au
2 6 8
Direct
0.000 0.000 0.000 Sr
0.500 0.000 0.000 Sr
0.000 0.500 0.000 Ca
0.250 0.000 0.500 Ca
0.250 0.500 0.499 Ca
0.500 0.500 0.000 Ca
0.750 0.000 0.500 Ca
0.750 0.500 0.501 Ca
0.000 0.262 0.500 Au
0.000 0.738 0.500 Au
0.250 0.262 0.999 Au
0.250 0.738 0.999 Au
0.500 0.262 0.500 Au
0.500 0.738 0.500 Au
0.750 0.262 0.001 Au
0.750 0.738 0.001 Au
```

Calculated values
formation energy from the elements	-0.764	eV per atom
D(E_F)	9.73	states/eV per cell